Density functional theory data (GGA-PBE) for a relaxed structure of KMn2Se.

Cell and atoms, written as CIF:
```
data_KMn2Se
_chemical_formula_sum 'K2 Mn4 Se2'
_cell_length_a 6.950
_cell_length_b 4.017
_cell_length_c 7.057
_cell_angle_alpha 90.00
_cell_angle_beta 109.24
_cell_angle_gamma 90.00
_space_group_name_H-M_alt 'C 1 m 1'
_space_group_IT_number 8
_space_group_name_Hall 'C -2y'
loop_
_atom_site_label
_atom_site_type_symbol
_atom_site_fract_x
_atom_site_fract_y
_atom_site_fract_z
K1 K 0.000 0.000 0.000
Mn1 Mn 0.008 0.500 0.524
Mn2 Mn 0.198 0.000 0.594
Se1 Se 0.287 0.500 0.361
```

Raw formation energy = -0.41 kJ/mol of atoms
Calculated total energy = -45.9 eV per cell
D(E_F) = 0.41 states/eV/atom
Mass density = 4.07 g/cm3